# FeAgNF2, optimized geometry, DFT PBE with a Hubbard U
# DOS(E_F), states/eV per cell: 2.25
# E_tot, eV/atom: -4.65
# Total magnetization, μB/cell: 4.0
# Excess energy over the best structure of this formula in the dataset, eV/f.u.: 0.00
data_FeAgNF2
_cell_length_a 3.9917
_cell_length_b 3.9917
_cell_length_c 3.9916
_cell_angle_alpha 90.00
_cell_angle_beta 90.00
_cell_angle_gamma 90.00
_space_group_name_H-M_alt 'P 4/m m m'
_space_group_IT_number 123
_space_group_name_Hall '-P 4 2'
loop_
_atom_site_label
_atom_site_fract_x
_atom_site_fract_y
_atom_site_fract_z
Fe1 0.0000 0.0000 0.0000
Ag1 0.5000 0.5000 0.5000
N1 0.0000 0.0000 0.5000
F1 0.0000 0.5000 0.0000